Record 1
Density functional theory data (GGA-PBE) for a relaxed structure of CaTl5.

a b c (Å): 11.466 4.759 6.997
angles (deg): 90.00 111.18 90.00
Fractional positions:
Ca (0.000, 0.000, 0.000)
Ca (0.500, 0.500, 0.000)
Tl (0.000, 0.000, 0.500)
Tl (0.168, 0.500, 0.834)
Tl (0.169, 0.500, 0.337)
Tl (0.331, 0.000, 0.663)
Tl (0.332, 0.000, 0.166)
Tl (0.500, 0.500, 0.500)
Tl (0.668, 0.000, 0.834)
Tl (0.669, 0.000, 0.337)
Tl (0.831, 0.500, 0.663)
Tl (0.832, 0.500, 0.166)

Summary:
Calculated density (Mg/m³): 9.906
Polymorph energy (0 for the lowest one) (meV/atom): 0
Energy of formation (eV per atom): -0.136

=====

Record 2
Density functional theory data (GGA-PBE) for a relaxed structure of K2Tl4Pb3.

a b c (Å): 10.034 10.034 9.677
angles (deg): 90.00 90.00 139.65
Fractional positions:
K (0.105, 0.895, 0.906)
K (0.395, 0.605, 0.406)
K (0.605, 0.395, 0.594)
K (0.895, 0.105, 0.094)
Tl (0.176, 0.824, 0.520)
Tl (0.185, 0.315, 0.750)
Tl (0.315, 0.185, 0.250)
Tl (0.324, 0.676, 0.020)
Tl (0.676, 0.324, 0.980)
Tl (0.685, 0.815, 0.750)
Tl (0.815, 0.685, 0.250)
Tl (0.824, 0.176, 0.480)
Pb (0.000, 0.000, 0.500)
Pb (0.018, 0.482, 0.750)
Pb (0.482, 0.018, 0.250)
Pb (0.500, 0.500, 0.000)
Pb (0.518, 0.982, 0.750)
Pb (0.982, 0.518, 0.250)

Summary:
Calculated density (Mg/m³): 7.987
Polymorph energy (0 for the lowest one) (meV/atom): 45
Energy of formation (eV per atom): -0.067

=====

Record 3
Density functional theory data (GGA-PBE) for a relaxed structure of Tb3Dy2ErTe6.

a b c (Å): 9.737 9.737 8.752
angles (deg): 103.00 103.00 25.74
Fractional positions:
Tb (0.000, 0.000, 0.000)
Tb (0.332, 0.332, 0.667)
Tb (0.668, 0.668, 0.333)
Dy (0.332, 0.332, 0.166)
Dy (0.668, 0.668, 0.834)
Er (0.000, 0.000, 0.500)
Te (0.165, 0.165, 0.583)
Te (0.167, 0.167, 0.082)
Te (0.500, 0.500, 0.253)
Te (0.500, 0.500, 0.747)
Te (0.833, 0.833, 0.918)
Te (0.835, 0.835, 0.417)

Summary:
Calculated density (Mg/m³): 8.214
Energy relative to the elements, uncorrected (kJ per mole of atoms): -123.83